[1]
A relaxed structure of CaPmCdBi, computed with PBE.

```
4
Lattice="-1.642 -5.181 -0.918 1.181 -3.954 3.654 -4.013 -2.204 3.069" Properties=species:S:1:pos:R:3 pbc="T T T"
Ca 0.000 0.000 0.000
Cd -3.355 -8.504 4.354
Bi -1.118 -2.835 1.451
Pm -2.237 -5.670 2.903
```

[2]
A relaxed structure of HfMn2Cr, computed with PBE.

```
4
Lattice="-1.277 2.601 -0.619 -2.671 -1.207 0.438 0.272 1.536 5.895" Properties=species:S:1:pos:R:3 pbc="T T T"
Cr -1.974 0.697 -0.091
Mn 0.212 1.197 4.591
Mn 0.060 0.340 1.304
Hf -1.838 1.465 2.857
```

Computed properties:
Offset from the most stable computed form, meV/atom: 0

Number 1: calculated formation energy -0.477 eV per atom. Number 2: calculated formation energy 0.010 eV per atom.